No. 1
# Li3InH, relaxed, DFT PBE-GGA
# Size of the total moment (μB per cell): 0.000
# Raw total energy (eV/atom): -2.615
# Space-group type: No. 221
data_Li3InH
_cell_length_a 4.1552
_cell_length_b 4.1552
_cell_length_c 4.1552
_cell_angle_alpha 90.00
_cell_angle_beta 90.00
_cell_angle_gamma 90.00
_symmetry_space_group_name_H-M 'P 1'
_symmetry_Int_Tables_number 1
loop_
_symmetry_equiv_pos_as_xyz
'x,y,z'
loop_
_atom_site_label
_atom_site_type_symbol
_atom_site_fract_x
_atom_site_fract_y
_atom_site_fract_z
Li1 Li 0.0000 0.0000 0.5000
Li2 Li 0.0000 0.5000 0.0000
Li3 Li 0.5000 0.0000 0.0000
In1 In 0.5000 0.5000 0.5000
H1 H 0.0000 0.0000 0.0000

***

No. 2
# Ce2TiGa3, relaxed, DFT PBE-GGA
# Size of the total moment (μB per cell): 1.995
# DFT formation energy (eV/atom): -0.486
# Raw total energy (eV/atom): -5.293
# Space-group type: No. 194
data_Ce2TiGa3
_cell_length_a 5.6790
_cell_length_b 5.6790
_cell_length_c 8.8457
_cell_angle_alpha 90.00
_cell_angle_beta 90.00
_cell_angle_gamma 120.00
_symmetry_space_group_name_H-M 'P 1'
_symmetry_Int_Tables_number 1
loop_
_symmetry_equiv_pos_as_xyz
'x,y,z'
loop_
_atom_site_label
_atom_site_type_symbol
_atom_site_fract_x
_atom_site_fract_y
_atom_site_fract_z
Ce1 Ce 0.3333 0.6667 0.0568
Ce2 Ce 0.3333 0.6667 0.4432
Ce3 Ce 0.6667 0.3333 0.5568
Ce4 Ce 0.6667 0.3333 0.9432
Ti1 Ti 0.0000 0.0000 0.0000
Ti2 Ti 0.0000 0.0000 0.5000
Ga1 Ga 0.1693 0.3387 0.7500
Ga2 Ga 0.1693 0.8307 0.7500
Ga3 Ga 0.3387 0.1693 0.2500
Ga4 Ga 0.6613 0.8307 0.7500
Ga5 Ga 0.8307 0.1693 0.2500
Ga6 Ga 0.8307 0.6613 0.2500

***

Among the records above, which one has the lowest raw total energy? Ce2TiGa3

***

Which value of size of the total moment does entry 1 give? 0.000 μB per cell